VASP calculation (PBEsol) on an optimized crystal structure of SrSiAg3.

## Properties
Fermi-level density of states in states/eV/cell: 1.514
E_form (uncorrected) in meV/atom: -89
Size of the total moment in μB per formula unit: 0.00
Crystal system: cubic
Total DFT energy (no corrections) in eV per atom: -3.593
SG: No. 221

a = 4.826 Å, b = 4.826 Å, c = 4.826 Å
α = 90.00°, β = 90.00°, γ = 90.00°
Atoms (fractional coordinates):
Ag 0.000 0.500 0.000
Ag 0.500 0.000 0.000
Ag 0.000 0.000 0.500
Sr 0.500 0.500 0.500
Si 0.000 0.000 0.000